No. 1
# NdPuCo, optimized geometry, DFT PBE-GGA
# DFT total energy   -8.55 eV per atom
# Total magnetization   22.243 μB per cell
# Formation enthalpy at 0 K   11.5 kJ per mole of atoms
# Distance to the lowest polymorph of the same formula   0 meV/atom
data_NdPuCo
_chemical_formula_sum 'Nd4 Pu4 Co4'
_symmetry_space_group_name_H-M 'F -4 3 m'
_symmetry_Int_Tables_number 216
_symmetry_space_group_name_Hall 'F -4 2 3'
_cell_length_a 6.635
_cell_length_b 6.635
_cell_length_c 6.635
_cell_angle_alpha 90.00
_cell_angle_beta 90.00
_cell_angle_gamma 90.00
loop_
_atom_site_label
_atom_site_fract_x
_atom_site_fract_y
_atom_site_fract_z
Nd1 0.000 0.000 0.000
Pu1 0.000 0.000 0.500
Co1 0.250 0.250 0.250

=====

No. 2
# ThAl8Fe4, optimized geometry, DFT PBE-GGA
# DFT total energy   -5.84 eV per atom
# Total magnetization   10.671 μB per cell
data_ThAl8Fe4
_chemical_formula_sum 'Th2 Al16 Fe8'
_symmetry_space_group_name_H-M 'I 4/m m m'
_symmetry_Int_Tables_number 139
_symmetry_space_group_name_Hall '-I 4 2'
_cell_length_a 8.780
_cell_length_b 8.780
_cell_length_c 5.030
_cell_angle_alpha 90.00
_cell_angle_beta 90.00
_cell_angle_gamma 90.00
loop_
_atom_site_label
_atom_site_fract_x
_atom_site_fract_y
_atom_site_fract_z
Th1 0.000 0.000 0.000
Al1 0.000 0.224 0.500
Al2 0.000 0.346 0.000
Fe1 0.250 0.250 0.250

=====

No. 3
# Sm2Tc2O5, optimized geometry, DFT PBE-GGA
# DFT total energy   -7.62 eV per atom
# Total magnetization   2.911 μB per cell
# Distance to the lowest polymorph of the same formula   459 meV/atom
data_Sm2Tc2O5
_chemical_formula_sum 'Sm2 Tc2 O5'
_symmetry_space_group_name_H-M 'P 4/m m m'
_symmetry_Int_Tables_number 123
_symmetry_space_group_name_Hall '-P 4 2'
_cell_length_a 3.581
_cell_length_b 3.581
_cell_length_c 9.668
_cell_angle_alpha 90.00
_cell_angle_beta 90.00
_cell_angle_gamma 90.00
loop_
_atom_site_label
_atom_site_fract_x
_atom_site_fract_y
_atom_site_fract_z
Sm1 0.000 0.000 0.241
Tc1 0.500 0.500 0.000
Tc2 0.500 0.500 0.500
O1 0.000 0.000 0.000
O2 0.000 0.500 0.380

=====

No. 4
# HfBeCdPt, optimized geometry, DFT PBE-GGA
# DFT total energy   -5.44 eV per atom
# Total magnetization   0.003 μB per cell
# Distance to the lowest polymorph of the same formula   59 meV/atom
data_HfBeCdPt
_chemical_formula_sum 'Hf4 Be4 Cd4 Pt4'
_symmetry_space_group_name_H-M 'F -4 3 m'
_symmetry_Int_Tables_number 216
_symmetry_space_group_name_Hall 'F -4 2 3'
_cell_length_a 6.419
_cell_length_b 6.419
_cell_length_c 6.419
_cell_angle_alpha 90.00
_cell_angle_beta 90.00
_cell_angle_gamma 90.00
loop_
_atom_site_label
_atom_site_fract_x
_atom_site_fract_y
_atom_site_fract_z
Hf1 0.000 0.000 0.000
Be1 0.000 0.000 0.500
Cd1 0.250 0.250 0.250
Pt1 0.250 0.250 0.750

=====

No. 5
# Na3GdBi2, optimized geometry, DFT PBE-GGA
# DFT total energy   -3.26 eV per atom
# Total magnetization   0.009 μB per cell
data_Na3GdBi2
_chemical_formula_sum 'Na3 Gd1 Bi2'
_symmetry_space_group_name_H-M 'P -3 m 1'
_symmetry_Int_Tables_number 164
_symmetry_space_group_name_Hall '-P 3 2"'
_cell_length_a 5.0410
_cell_length_b 5.0410
_cell_length_c 7.6085
_cell_angle_alpha 90.00
_cell_angle_beta 90.00
_cell_angle_gamma 120.00
loop_
_atom_site_label
_atom_site_fract_x
_atom_site_fract_y
_atom_site_fract_z
Na1 0.0000 0.0000 0.0000
Na2 0.3333 0.6667 0.1604
Gd1 0.0000 0.0000 0.5000
Bi1 0.3333 0.6667 0.7150

=====

No. 6
# Zr4GeAsC2, optimized geometry, DFT PBE-GGA
# DFT total energy   -8.62 eV per atom
# Total magnetization   0.007 μB per cell
data_Zr4GeAsC2
_chemical_formula_sum 'Zr4 Ge1 As1 C2'
_symmetry_space_group_name_H-M 'P -6 m 2'
_symmetry_Int_Tables_number 187
_symmetry_space_group_name_Hall 'P -6 2'
_cell_length_a 3.4092
_cell_length_b 3.4092
_cell_length_c 13.2475
_cell_angle_alpha 90.00
_cell_angle_beta 90.00
_cell_angle_gamma 120.00
loop_
_atom_site_label
_atom_site_fract_x
_atom_site_fract_y
_atom_site_fract_z
Zr1 0.0000 0.0000 0.1469
Zr2 0.3333 0.6667 0.3381
Ge1 0.0000 0.0000 0.5000
As1 0.3333 0.6667 0.0000
C1 0.6667 0.3333 0.2436

=====

No. 7
# KMgGa4Pt2, optimized geometry, DFT PBE-GGA
# DFT total energy   -3.76 eV per atom
# Total magnetization   0.001 μB per cell
data_KMgGa4Pt2
_chemical_formula_sum 'K2 Mg2 Ga8 Pt4'
_symmetry_space_group_name_H-M 'A m m 2'
_symmetry_Int_Tables_number 38
_symmetry_space_group_name_Hall 'A 2 -2'
_cell_length_a 7.164
_cell_length_b 4.280
_cell_length_c 9.955
_cell_angle_alpha 90.00
_cell_angle_beta 90.00
_cell_angle_gamma 90.00
loop_
_atom_site_label
_atom_site_fract_x
_atom_site_fract_y
_atom_site_fract_z
K1 0.000 0.000 0.000
Mg1 0.500 0.000 0.851
Ga1 0.206 0.000 0.289
Ga2 0.308 0.000 0.569
Pt1 0.000 0.000 0.716
Pt2 0.500 0.000 0.134

=====

No. 8
# Co7Ni6, optimized geometry, DFT PBE-GGA
# DFT total energy   -6.26 eV per atom
# Total magnetization   46.771 μB per cell
# Formation enthalpy at 0 K   13.4 kJ per mole of atoms
# Distance to the lowest polymorph of the same formula   0 meV/atom
data_Co7Ni6
_chemical_formula_sum 'Co21 Ni18'
_symmetry_space_group_name_H-M 'R -3 m'
_symmetry_Int_Tables_number 166
_symmetry_space_group_name_Hall '-R 3 2"'
_cell_length_a 4.5701
_cell_length_b 4.5701
_cell_length_c 24.1974
_cell_angle_alpha 90.00
_cell_angle_beta 90.00
_cell_angle_gamma 120.00
loop_
_atom_site_label
_atom_site_fract_x
_atom_site_fract_y
_atom_site_fract_z
Co1 0.0000 0.0000 0.0000
Co2 0.0044 0.5022 0.4122
Ni1 0.0000 0.0000 0.1644
Ni2 0.0000 0.0000 0.3493
Ni3 0.0000 0.0000 0.4528

=====

No. 9
# RbZnSn, optimized geometry, DFT PBE-GGA
# DFT total energy   -1.71 eV per atom
# Distance to the lowest polymorph of the same formula   138 meV/atom
data_RbZnSn
_chemical_formula_sum 'Rb4 Zn4 Sn4'
_symmetry_space_group_name_H-M 'F -4 3 m'
_symmetry_Int_Tables_number 216
_symmetry_space_group_name_Hall 'F -4 2 3'
_cell_length_a 7.660
_cell_length_b 7.660
_cell_length_c 7.660
_cell_angle_alpha 90.00
_cell_angle_beta 90.00
_cell_angle_gamma 90.00
loop_
_atom_site_label
_atom_site_fract_x
_atom_site_fract_y
_atom_site_fract_z
Rb1 0.000 0.000 0.000
Zn1 0.000 0.000 0.500
Sn1 0.250 0.250 0.250

=====

No. 10
# Tb2NdMg3InGa2, optimized geometry, DFT PBE-GGA
# DFT total energy   -3.52 eV per atom
# Total magnetization   0.001 μB per cell
data_Tb2NdMg3InGa2
_chemical_formula_sum 'Tb4 Nd2 Mg6 In2 Ga4'
_symmetry_space_group_name_H-M 'A m m 2'
_symmetry_Int_Tables_number 38
_symmetry_space_group_name_Hall 'A 2 -2'
_cell_length_a 4.591
_cell_length_b 12.881
_cell_length_c 7.370
_cell_angle_alpha 90.00
_cell_angle_beta 90.00
_cell_angle_gamma 90.00
loop_
_atom_site_label
_atom_site_fract_x
_atom_site_fract_y
_atom_site_fract_z
Tb1 0.000 0.218 0.000
Nd1 0.000 0.000 0.345
Mg1 0.500 0.000 0.031
Mg2 0.500 0.125 0.659
In1 0.000 0.000 0.787
Ga1 0.500 0.169 0.282

=====

No. 11
# Tb4PbC2S, optimized geometry, DFT PBE-GGA
# DFT total energy   -6.45 eV per atom
# Total magnetization   0.008 μB per cell
data_Tb4PbC2S
_chemical_formula_sum 'Tb4 Pb1 C2 S1'
_symmetry_space_group_name_H-M 'P -6 m 2'
_symmetry_Int_Tables_number 187
_symmetry_space_group_name_Hall 'P -6 2'
_cell_length_a 3.6968
_cell_length_b 3.6968
_cell_length_c 14.6012
_cell_angle_alpha 90.00
_cell_angle_beta 90.00
_cell_angle_gamma 120.00
loop_
_atom_site_label
_atom_site_fract_x
_atom_site_fract_y
_atom_site_fract_z
Tb1 0.0000 0.0000 0.1294
Tb2 0.6667 0.3333 0.3145
Pb1 0.0000 0.0000 0.5000
C1 0.3333 0.6667 0.2248
S1 0.6667 0.3333 0.0000

=====

No. 12
# AsPdPtO, optimized geometry, DFT PBE-GGA
# DFT total energy   -5.30 eV per atom
# Total magnetization   0.003 μB per cell
# Distance to the lowest polymorph of the same formula   46 meV/atom
data_AsPdPtO
_chemical_formula_sum 'As2 Pd2 Pt2 O2'
_symmetry_space_group_name_H-M 'P 4/n m m'
_symmetry_Int_Tables_number 129
_cell_length_a 4.018
_cell_length_b 4.018
_cell_length_c 7.384
_cell_angle_alpha 90.00
_cell_angle_beta 90.00
_cell_angle_gamma 90.00
loop_
_symmetry_equiv_pos_as_xyz
'x,y,z'
'-x,-y,-z'
'-y+1/2,x,z'
'y+1/2,-x,-z'
'-x+1/2,-y+1/2,z'
'x+1/2,y+1/2,-z'
'y,-x+1/2,z'
'-y,x+1/2,-z'
'x+1/2,-y,-z'
'-x+1/2,y,z'
'-y,-x,-z'
'y,x,z'
'-x,y+1/2,-z'
'x,-y+1/2,z'
'y+1/2,x+1/2,-z'
'-y+1/2,-x+1/2,z'
loop_
_atom_site_label
_atom_site_fract_x
_atom_site_fract_y
_atom_site_fract_z
As1 0.250 0.250 0.214
Pd1 0.250 0.250 0.605
Pt1 0.250 0.750 0.000
O1 0.250 0.750 0.500